# 1
Sr3NdTaAl3O12: optimized geometry, PBEsol.

Output
E above lowest polymorph = 10 meV/atom
formation energy without anion corrections = -3.04 eV per atom
space group = C2
raw total energy = -7.9623 eV per atom

Unit cell a=5.400 b=9.420 c=9.420 alpha=70.44 beta=90.10 gamma=90.10
Positions (direct):
O 0.501 0.133 0.364
O 0.754 0.111 0.121
O 0.240 0.388 0.869
O 0.762 0.609 0.625
O 0.724 0.373 0.885
O 0.748 0.873 0.381
O 0.760 0.131 0.612
O 0.500 0.871 0.129
O 0.999 0.860 0.630
O 0.729 0.892 0.877
O 0.271 0.123 0.108
O 0.252 0.619 0.127
O 0.756 0.625 0.120
O 0.000 0.148 0.852
O 0.252 0.618 0.616
O 0.000 0.625 0.375
O 0.500 0.354 0.646
O 0.499 0.636 0.867
O 0.244 0.880 0.375
O 0.748 0.384 0.382
O 0.246 0.879 0.889
O 0.276 0.115 0.627
O 0.001 0.370 0.140
O 0.238 0.375 0.391
Al 0.001 0.747 0.496
Al 0.502 0.994 0.254
Al 0.498 0.505 0.747
Al 0.502 0.253 0.495
Al 0.999 0.504 0.253
Al 0.498 0.746 0.006
Sr 0.500 0.628 0.372
Sr 0.000 0.861 0.139
Sr 0.500 0.864 0.614
Sr 0.001 0.123 0.375
Sr 0.500 0.386 0.136
Sr 0.999 0.625 0.877
Nd 0.000 0.394 0.606
Nd 0.500 0.125 0.875
Ta 0.001 0.996 0.744
Ta 0.999 0.256 0.004

***

# 2
Nd3Al12Os4: optimized geometry, PBEsol.

Output
space group = P6_3/mmc
raw total energy = -6.5389 eV per atom

Unit cell a=8.825 b=8.825 c=9.622 alpha=90.00 beta=90.00 gamma=120.00
Positions (direct):
Al 0.674 0.837 0.574
Al 0.333 0.667 0.012
Al 0.837 0.674 0.426
Al 0.562 0.124 0.250
Al 0.438 0.562 0.750
Al 0.837 0.163 0.074
Al 0.837 0.163 0.426
Al 0.667 0.333 0.512
Al 0.667 0.333 0.988
Al 0.876 0.438 0.250
Al 0.562 0.438 0.250
Al 0.163 0.837 0.926
Al 0.124 0.562 0.750
Al 0.837 0.674 0.074
Al 0.438 0.876 0.750
Al 0.326 0.163 0.426
Al 0.333 0.667 0.488
Al 0.163 0.326 0.574
Al 0.163 0.326 0.926
Al 0.000 0.000 0.250
Al 0.000 0.000 0.750
Al 0.163 0.837 0.574
Al 0.326 0.163 0.074
Al 0.674 0.837 0.926
Nd 0.384 0.192 0.750
Nd 0.808 0.192 0.750
Nd 0.616 0.808 0.250
Nd 0.192 0.808 0.250
Nd 0.192 0.384 0.250
Nd 0.808 0.616 0.750
Os 0.000 0.500 0.000
Os 0.000 0.000 0.000
Os 0.000 0.500 0.500
Os 0.500 0.000 0.500
Os 0.500 0.500 0.000
Os 0.000 0.000 0.500
Os 0.500 0.500 0.500
Os 0.500 0.000 0.000

***

# 3
NdAl3Pd2: optimized geometry, PBEsol.

Output
space group = P6/mmm
raw total energy = -5.7445 eV per atom

Unit cell a=4.193 b=5.416 c=5.416 alpha=120.00 beta=90.00 gamma=90.00
Positions (direct):
Al 0.500 0.500 0.000
Al 0.500 0.000 0.500
Al 0.500 0.500 0.500
Pd 0.000 0.333 0.667
Pd 0.000 0.667 0.333
Nd 0.000 0.000 0.000

***

# 4
NdAlPd2: optimized geometry, PBEsol.

Output
space group = Pnma
raw total energy = -6.1597 eV per atom

Unit cell a=5.782 b=6.990 c=7.424 alpha=90.00 beta=90.00 gamma=90.00
Positions (direct):
Al 0.846 0.750 0.117
Al 0.346 0.250 0.383
Al 0.654 0.750 0.617
Al 0.154 0.250 0.883
Pd 0.414 0.447 0.678
Pd 0.414 0.053 0.678
Pd 0.586 0.553 0.322
Pd 0.914 0.947 0.822
Pd 0.586 0.947 0.322
Pd 0.914 0.553 0.822
Pd 0.086 0.053 0.178
Pd 0.086 0.447 0.178
Nd 0.848 0.250 0.533
Nd 0.652 0.250 0.033
Nd 0.152 0.750 0.467
Nd 0.348 0.750 0.967

***

> What is the formula in the second record?

Nd3Al12Os4

***

> Among the records above, which one has the lowest raw total energy?

Sr3NdTaAl3O12